[1]
The following is a DFT calculation (PBE) of an optimized crystal structure of Y8Te3CSe3.

Calculated values
Mass density: 5.40 g cm⁻³
Total moment: 0.0 μB per cell
E_form (uncorrected): -1.296 eV/atom

Cell lengths 8.2299, 8.2299, 21.1277 Å; angles 90.00, 90.00, 120.00 degrees
Space group R-3m (No. 166, hexagonal axes)
Unique sites:
Y (0.0000, 0.0000, 0.2383) [6 per cell]
Y (0.0425, 0.5213, 0.2325) [18 per cell]
Te (0.0000, 0.5000, 0.0000) [9 per cell]
C (0.0000, 0.0000, 0.5000) [3 per cell]
Se (0.0000, 0.5000, 0.5000) [9 per cell]

***

[2]
The following is a DFT calculation (PBE) of an optimized crystal structure of Pm2AsSe.

Calculated values
Mass density: 6.92 g cm⁻³
Total moment: 0.0 μB per cell
E_form (uncorrected): -1.742 eV/atom
Energy relative to the lowest polymorph listed for this composition: 0.0 meV/atom

Cell lengths 4.217, 5.963, 8.470 Å; angles 90.00, 90.00, 90.00 degrees
Space group Pmmn (No. 59, origin choice 2)
Unique sites:
Pm (0.250, 0.250, 0.117) [2 per cell]
Pm (0.250, 0.250, 0.636) [2 per cell]
As (0.250, 0.750, 0.126) [2 per cell]
Se (0.250, 0.750, 0.622) [2 per cell]

***

[3]
The following is a DFT calculation (PBE) of an optimized crystal structure of BaSrN2O.

Calculated values
Mass density: 4.25 g cm⁻³
Total moment: 2.0 μB per cell
E_form (uncorrected): 0.410 eV/atom

Cell lengths 4.667, 4.667, 4.830 Å; angles 90.00, 90.00, 90.00 degrees
Space group P4/mmm (No. 123)
Unique sites:
Ba (0.000, 0.000, 0.000) [1 per cell]
Sr (0.500, 0.500, 0.500) [1 per cell]
N (0.000, 0.500, 0.000) [2 per cell]
O (0.000, 0.000, 0.500) [1 per cell]

***

[4]
The following is a DFT calculation (PBE) of an optimized crystal structure of Sr4TlZn3.

Calculated values
Mass density: 4.68 g cm⁻³
Total moment: 0.0 μB per cell
Energy relative to the lowest polymorph listed for this composition: 7.6 meV/atom
Energy relative to the elements: -0.2308 eV per atom

Cell lengths 4.669, 4.678, 12.200 Å; angles 90.00, 90.00, 90.00 degrees
Space group Pmm2 (No. 25)
Unique sites:
Sr (0.000, 0.000, 0.000) [1 per cell]
Sr (0.000, 0.500, 0.280) [1 per cell]
Sr (0.500, 0.000, 0.490) [1 per cell]
Sr (0.500, 0.500, 0.786) [1 per cell]
Tl (0.000, 0.000, 0.708) [1 per cell]
Zn (0.000, 0.500, 0.564) [1 per cell]
Zn (0.500, 0.000, 0.195) [1 per cell]
Zn (0.500, 0.500, 0.085) [1 per cell]

***

[5]
The following is a DFT calculation (PBE) of an optimized crystal structure of TlPbN2F.

Calculated values
Mass density: 8.83 g cm⁻³
Total moment: 1.5 μB per cell
E_form (uncorrected): 0.732 eV/atom
Energy relative to the lowest polymorph listed for this composition: 97.7 meV/atom

Cell lengths 4.318, 4.318, 4.625 Å; angles 90.00, 90.00, 90.00 degrees
Space group P4/mmm (No. 123)
Unique sites:
Tl (0.000, 0.000, 0.000) [1 per cell]
Pb (0.500, 0.500, 0.500) [1 per cell]
N (0.000, 0.500, 0.000) [2 per cell]
F (0.000, 0.000, 0.500) [1 per cell]

***

[6]
The following is a DFT calculation (PBE) of an optimized crystal structure of Sc2Tl3ZnTe6.

Calculated values
Mass density: 6.82 g cm⁻³
Total moment: 0.0 μB per cell
E_form (uncorrected): -0.659 eV/atom

Cell lengths 7.411, 12.835, 8.234 Å; angles 90.00, 107.38, 90.00 degrees
Space group C2/m (No. 12)
Unique sites:
Sc (0.000, 0.166, 0.000) [4 per cell]
Tl (0.000, 0.000, 0.500) [2 per cell]
Tl (0.000, 0.328, 0.500) [4 per cell]
Zn (0.000, 0.500, 0.000) [2 per cell]
Te (0.231, 0.335, 0.201) [8 per cell]
Te (0.239, 0.000, 0.204) [4 per cell]

***

[7]
The following is a DFT calculation (PBE) of an optimized crystal structure of CrPbSeN2.

Calculated values
Mass density: 5.22 g cm⁻³
Total moment: 6.2 μB per cell
E_form (uncorrected): 1.859 eV/atom
Energy relative to the lowest polymorph listed for this composition: 1369.5 meV/atom

Cell lengths 4.176, 4.176, 6.685 Å; angles 90.00, 90.00, 90.00 degrees
Space group P4/mmm (No. 123)
Unique sites:
Cr (0.000, 0.000, 0.000) [1 per cell]
Pb (0.000, 0.000, 0.500) [1 per cell]
Se (0.500, 0.500, 0.000) [1 per cell]
N (0.000, 0.500, 0.500) [2 per cell]

***

[8]
The following is a DFT calculation (PBE) of an optimized crystal structure of LuMgPaIn.

Calculated values
Mass density: 8.81 g cm⁻³
Total moment: 4.3 μB per cell
Energy relative to the elements: 0.0885 eV per atom

Cell lengths 7.435, 7.435, 7.435 Å; angles 90.00, 90.00, 90.00 degrees
Space group F-43m (No. 216)
Unique sites:
Lu (0.000, 0.000, 0.000) [4 per cell]
Mg (0.250, 0.250, 0.250) [4 per cell]
Pa (0.000, 0.000, 0.500) [4 per cell]
In (0.250, 0.250, 0.750) [4 per cell]

***

[9]
The following is a DFT calculation (PBE) of an optimized crystal structure of CrBi2Sb.

Calculated values
Mass density: 6.62 g cm⁻³
Total moment: 14.4 μB per cell
E_form (uncorrected): 0.495 eV/atom

Cell lengths 6.525, 6.525, 13.951 Å; angles 90.00, 90.00, 90.00 degrees
Space group I-42d (No. 122)
Unique sites:
Cr (0.000, 0.000, 0.000) [4 per cell]
Bi (0.210, 0.250, 0.125) [8 per cell]
Sb (0.000, 0.000, 0.500) [4 per cell]

***

[10]
The following is a DFT calculation (PBE) of an optimized crystal structure of Pr3TeRhBr.

Calculated values
Mass density: 6.75 g cm⁻³
Total moment: 0.0 μB per cell
E_form (uncorrected): -1.070 eV/atom

Cell lengths 7.484, 4.062, 12.132 Å; angles 90.00, 101.94, 90.00 degrees
Space group P2_1/m (No. 11)
Unique sites:
Pr (0.041, 0.250, 0.135) [2 per cell]
Pr (0.289, 0.250, 0.498) [2 per cell]
Pr (0.448, 0.750, 0.858) [2 per cell]
Te (0.348, 0.750, 0.305) [2 per cell]
Rh (0.237, 0.250, 0.952) [2 per cell]
Br (0.117, 0.750, 0.636) [2 per cell]

***

[11]
The following is a DFT calculation (PBE) of an optimized crystal structure of Mg2ZnGa2Ni5.

Calculated values
Mass density: 6.59 g cm⁻³
Total moment: 0.0 μB per cell
Energy relative to the elements: -0.2259 eV per atom

Cell lengths 8.955, 8.955, 3.436 Å; angles 90.00, 90.00, 90.00 degrees
Space group P4/mbm (No. 127)
Unique sites:
Mg (0.172, 0.328, 0.000) [4 per cell]
Zn (0.000, 0.000, 0.000) [2 per cell]
Ga (0.127, 0.627, 0.000) [4 per cell]
Ni (0.000, 0.500, 0.500) [2 per cell]
Ni (0.066, 0.803, 0.500) [8 per cell]

***

[12]
The following is a DFT calculation (PBE) of an optimized crystal structure of Ta2CdP6O21.

Calculated values
Mass density: 3.61 g cm⁻³
Total moment: 0.0 μB per cell
E_form (uncorrected): -2.297 eV/atom

Cell lengths 13.418, 16.082, 8.495 Å; angles 90.00, 90.00, 90.00 degrees
Space group Pnma (No. 62)
Unique sites:
Ta (0.133, 0.086, 0.163) [8 per cell]
Cd (0.145, 0.750, 0.179) [4 per cell]
P (0.029, 0.082, 0.794) [8 per cell]
P (0.032, 0.750, 0.787) [4 per cell]
P (0.198, 0.071, 0.560) [8 per cell]
P (0.214, 0.750, 0.581) [4 per cell]
O (0.031, 0.502, 0.166) [8 per cell]
O (0.032, 0.652, 0.265) [8 per cell]
O (0.035, 0.172, 0.230) [8 per cell]
O (0.096, 0.103, 0.938) [8 per cell]
O (0.096, 0.750, 0.929) [4 per cell]
O (0.098, 0.750, 0.629) [4 per cell]
O (0.100, 0.046, 0.658) [8 per cell]
O (0.163, 0.062, 0.386) [8 per cell]
O (0.223, 0.750, 0.408) [4 per cell]
O (0.232, 0.004, 0.093) [8 per cell]
O (0.237, 0.153, 0.603) [8 per cell]
O (0.238, 0.172, 0.159) [8 per cell]

***

Computed values of final energy (unit: eV per atom) for the preceding records, in sequence: -6.68 -6.15 -4.63 -1.85 -4.19 -3.98 -4.83 -4.50 -4.88 -5.49 -4.17 -7.67.